Below is a geometry-optimized TbTaFe4 structure, with properties calculated at the PBE-GGA level.

Cell lengths 7.059, 7.059, 7.059 Å; angles 90.00, 90.00, 90.00 degrees
Space group F-43m (No. 216)
Asymmetric unit:
Tb1 0.000 0.000 0.000 x4
Ta1 0.250 0.250 0.250 x4
Fe1 0.124 0.124 0.624 x16

- size of the total moment (μB per cell) = 26.1
- energy of formation from the pure elements (eV/atom) = -0.05
- electronic total energy (eV/atom) = -8.44
- excess energy over the best structure of this formula in the dataset (eV/atom) = 0.044
- DOS at the Fermi energy (states/eV per atom) = 0.603